Density functional theory data (PBE-GGA) for crystalline Ti6NbAl3 at its relaxed geometry.

Density of states at the Fermi level (states/eV per cell): 23.2
Energy of formation (kJ per mole of atoms): -24.5

```
data_Ti6NbAl3
_symmetry_space_group_name_H-M 'P 1 21/m 1'
_symmetry_Int_Tables_number 11
_cell_length_a 7.773
_cell_length_b 4.631
_cell_length_c 9.960
_cell_angle_alpha 90.00
_cell_angle_beta 110.92
_cell_angle_gamma 90.00
loop_
_symmetry_equiv_pos_as_xyz
'x,y,z'
'-x,-y,-z'
'-x,y+1/2,-z'
'x,-y+1/2,z'
loop_
_atom_site_label
_atom_site_type_symbol
_atom_site_fract_x
_atom_site_fract_y
_atom_site_fract_z
Ti1 Ti 0.045 0.250 0.423
Ti2 Ti 0.153 0.750 0.170
Ti3 Ti 0.250 0.250 0.019
Ti4 Ti 0.348 0.750 0.776
Ti5 Ti 0.356 0.250 0.326
Ti6 Ti 0.414 0.250 0.613
Nb1 Nb 0.452 0.750 0.096
Al1 Al 0.056 0.750 0.875
Al2 Al 0.132 0.250 0.724
Al3 Al 0.265 0.750 0.468
```

=====

Density functional theory data (PBE-GGA) for crystalline Ti4NbAl at its relaxed geometry.

Density of states at the Fermi level (states/eV per cell): 26.1
Energy of formation (kJ per mole of atoms): -10.1

```
data_Ti4NbAl
_symmetry_space_group_name_H-M 'C m c m'
_symmetry_Int_Tables_number 63
_symmetry_space_group_name_Hall '-C 2c 2'
_cell_length_a 5.593
_cell_length_b 15.864
_cell_length_c 4.549
_cell_angle_alpha 90.00
_cell_angle_beta 90.00
_cell_angle_gamma 90.00
loop_
_atom_site_label
_atom_site_type_symbol
_atom_site_fract_x
_atom_site_fract_y
_atom_site_fract_z
Ti1 Ti 0.249 0.042 0.250
Ti2 Ti 0.249 0.207 0.250
Nb1 Nb 0.000 0.126 0.750
Al1 Al 0.000 0.378 0.250
```

=====

Density functional theory data (PBE-GGA) for crystalline TiNb2Al3 at its relaxed geometry.

Density of states at the Fermi level (states/eV per cell): 10.5
Energy of formation (kJ per mole of atoms): -17.5

```
data_TiNb2Al3
_symmetry_space_group_name_H-M 'C m m m'
_symmetry_Int_Tables_number 65
_symmetry_space_group_name_Hall '-C 2 2'
_cell_length_a 4.880
_cell_length_b 14.591
_cell_length_c 2.821
_cell_angle_alpha 90.00
_cell_angle_beta 90.00
_cell_angle_gamma 90.00
loop_
_atom_site_label
_atom_site_type_symbol
_atom_site_fract_x
_atom_site_fract_y
_atom_site_fract_z
Ti1 Ti 0.000 0.000 0.000
Nb1 Nb 0.000 0.334 0.000
Al1 Al 0.000 0.167 0.500
Al2 Al 0.000 0.500 0.500
```

=====

Density functional theory data (PBE-GGA) for crystalline Ti3NbAl at its relaxed geometry.

Density of states at the Fermi level (states/eV per cell): 6.3
Energy of formation (kJ per mole of atoms): 91.5

```
data_Ti3NbAl
_symmetry_space_group_name_H-M 'P m -3 m'
_symmetry_Int_Tables_number 221
_symmetry_space_group_name_Hall '-P 4 2 3'
_cell_length_a 4.653
_cell_length_b 4.653
_cell_length_c 4.653
_cell_angle_alpha 90.00
_cell_angle_beta 90.00
_cell_angle_gamma 90.00
loop_
_atom_site_label
_atom_site_type_symbol
_atom_site_fract_x
_atom_site_fract_y
_atom_site_fract_z
Ti1 Ti 0.000 0.000 0.500
Nb1 Nb 0.500 0.500 0.500
Al1 Al 0.000 0.000 0.000
```

=====

Density functional theory data (PBE-GGA) for crystalline Ti2NbAl2 at its relaxed geometry.

Density of states at the Fermi level (states/eV per cell): 9.8
Energy of formation (kJ per mole of atoms): -24.6

```
data_Ti2NbAl2
_symmetry_space_group_name_H-M 'P 4/m b m'
_symmetry_Int_Tables_number 127
_symmetry_space_group_name_Hall '-P 4 2ab'
_cell_length_a 7.312
_cell_length_b 7.312
_cell_length_c 3.148
_cell_angle_alpha 90.00
_cell_angle_beta 90.00
_cell_angle_gamma 90.00
loop_
_atom_site_label
_atom_site_type_symbol
_atom_site_fract_x
_atom_site_fract_y
_atom_site_fract_z
Ti1 Ti 0.175 0.325 0.000
Nb1 Nb 0.000 0.000 0.500
Al1 Al 0.124 0.624 0.500
```

=====

Density functional theory data (PBE-GGA) for crystalline Ti3Nb2Al2 at its relaxed geometry.

Density of states at the Fermi level (states/eV per cell): 24.4
Energy of formation (kJ per mole of atoms): -22.8

```
data_Ti3Nb2Al2
_symmetry_space_group_name_H-M 'R -3 m'
_symmetry_Int_Tables_number 166
_symmetry_space_group_name_Hall '-R 3 2"'
_cell_length_a 4.5217
_cell_length_b 4.5217
_cell_length_c 20.2292
_cell_angle_alpha 90.00
_cell_angle_beta 90.00
_cell_angle_gamma 120.00
loop_
_atom_site_label
_atom_site_type_symbol
_atom_site_fract_x
_atom_site_fract_y
_atom_site_fract_z
Ti1 Ti 0.0000 0.0000 0.0000
Ti2 Ti 0.0000 0.0000 0.4227
Nb1 Nb 0.0000 0.0000 0.1389
Al1 Al 0.0000 0.0000 0.2786
```

=====

Density functional theory data (PBE-GGA) for crystalline TiNb2Al at its relaxed geometry.

Density of states at the Fermi level (states/eV per cell): 4.1
Energy of formation (kJ per mole of atoms): -13.2

```
data_TiNb2Al
_symmetry_space_group_name_H-M 'P 4/m m m'
_symmetry_Int_Tables_number 123
_symmetry_space_group_name_Hall '-P 4 2'
_cell_length_a 3.416
_cell_length_b 3.416
_cell_length_c 5.892
_cell_angle_alpha 90.00
_cell_angle_beta 90.00
_cell_angle_gamma 90.00
loop_
_atom_site_label
_atom_site_type_symbol
_atom_site_fract_x
_atom_site_fract_y
_atom_site_fract_z
Ti1 Ti 0.000 0.000 0.000
Nb1 Nb 0.500 0.500 0.254
Al1 Al 0.000 0.000 0.500
```

=====

Density functional theory data (PBE-GGA) for crystalline TiNbAl at its relaxed geometry.

Density of states at the Fermi level (states/eV per cell): 7.9
Energy of formation (kJ per mole of atoms): -20.2

```
data_TiNbAl
_symmetry_space_group_name_H-M 'P 4/n m m'
_symmetry_Int_Tables_number 129
_cell_length_a 3.390
_cell_length_b 3.390
_cell_length_c 8.993
_cell_angle_alpha 90.00
_cell_angle_beta 90.00
_cell_angle_gamma 90.00
loop_
_symmetry_equiv_pos_as_xyz
'x,y,z'
'-x,-y,-z'
'-y+1/2,x,z'
'y+1/2,-x,-z'
'-x+1/2,-y+1/2,z'
'x+1/2,y+1/2,-z'
'y,-x+1/2,z'
'-y,x+1/2,-z'
'x+1/2,-y,-z'
'-x+1/2,y,z'
'-y,-x,-z'
'y,x,z'
'-x,y+1/2,-z'
'x,-y+1/2,z'
'y+1/2,x+1/2,-z'
'-y+1/2,-x+1/2,z'
loop_
_atom_site_label
_atom_site_type_symbol
_atom_site_fract_x
_atom_site_fract_y
_atom_site_fract_z
Ti1 Ti 0.250 0.250 0.085
Nb1 Nb 0.250 0.250 0.418
Al1 Al 0.250 0.250 0.749
```

=====

Density functional theory data (PBE-GGA) for crystalline Ti3Nb2Al at its relaxed geometry.

Density of states at the Fermi level (states/eV per cell): 36.1
Energy of formation (kJ per mole of atoms): 5.8

```
data_Ti3Nb2Al
_symmetry_space_group_name_H-M 'C 1 2/c 1'
_symmetry_Int_Tables_number 15
_cell_length_a 5.592
_cell_length_b 14.301
_cell_length_c 5.422
_cell_angle_alpha 90.00
_cell_angle_beta 100.66
_cell_angle_gamma 90.00
loop_
_symmetry_equiv_pos_as_xyz
'x,y,z'
'-x,-y,-z'
'-x,y,-z+1/2'
'x,-y,z+1/2'
'x+1/2,y+1/2,z'
'-x+1/2,-y+1/2,-z'
'-x+1/2,y+1/2,-z+1/2'
'x+1/2,-y+1/2,z+1/2'
loop_
_atom_site_label
_atom_site_type_symbol
_atom_site_fract_x
_atom_site_fract_y
_atom_site_fract_z
Ti1 Ti 0.000 0.157 0.250
Ti2 Ti 0.250 0.177 0.763
Nb1 Nb 0.246 0.004 0.488
Al1 Al 0.000 0.348 0.750
```

=====

Density functional theory data (PBE-GGA) for crystalline Ti4NbAl5 at its relaxed geometry.

Density of states at the Fermi level (states/eV per cell): 12.4
Energy of formation (kJ per mole of atoms): -24.4

```
data_Ti4NbAl5
_symmetry_space_group_name_H-M 'P 4/m m m'
_symmetry_Int_Tables_number 123
_symmetry_space_group_name_Hall '-P 4 2'
_cell_length_a 3.421
_cell_length_b 3.421
_cell_length_c 14.063
_cell_angle_alpha 90.00
_cell_angle_beta 90.00
_cell_angle_gamma 90.00
loop_
_atom_site_label
_atom_site_type_symbol
_atom_site_fract_x
_atom_site_fract_y
_atom_site_fract_z
Ti1 Ti 0.000 0.000 0.099
Ti2 Ti 0.000 0.000 0.303
Nb1 Nb 0.000 0.000 0.500
Al1 Al 0.500 0.500 0.000
Al2 Al 0.500 0.500 0.201
Al3 Al 0.500 0.500 0.401
```

=====

Density functional theory data (PBE-GGA) for crystalline TiNbAl at its relaxed geometry.

Density of states at the Fermi level (states/eV per cell): 8.3
Energy of formation (kJ per mole of atoms): -25.4

```
data_TiNbAl
_symmetry_space_group_name_H-M 'C m c m'
_symmetry_Int_Tables_number 63
_symmetry_space_group_name_Hall '-C 2c 2'
_cell_length_a 3.921
_cell_length_b 12.450
_cell_length_c 4.159
_cell_angle_alpha 90.00
_cell_angle_beta 90.00
_cell_angle_gamma 90.00
loop_
_atom_site_label
_atom_site_type_symbol
_atom_site_fract_x
_atom_site_fract_y
_atom_site_fract_z
Ti1 Ti 0.000 0.247 0.250
Nb1 Nb 0.000 0.082 0.750
Al1 Al 0.000 0.413 0.750
```

=====

Density functional theory data (PBE-GGA) for crystalline TiNbAl at its relaxed geometry.

Density of states at the Fermi level (states/eV per cell): 3.9
Energy of formation (kJ per mole of atoms): 44.1

```
data_TiNbAl
_symmetry_space_group_name_H-M 'P m m m'
_symmetry_Int_Tables_number 47
_cell_length_a 2.990
_cell_length_b 4.271
_cell_length_c 4.710
_cell_angle_alpha 90.00
_cell_angle_beta 90.00
_cell_angle_gamma 90.00
loop_
_symmetry_equiv_pos_as_xyz
'x,y,z'
'-x,-y,-z'
'-x,-y,z'
'x,y,-z'
'x,-y,-z'
'-x,y,z'
'-x,y,-z'
'x,-y,z'
loop_
_atom_site_label
_atom_site_type_symbol
_atom_site_fract_x
_atom_site_fract_y
_atom_site_fract_z
Ti1 Ti 0.000 0.000 0.000
Nb1 Nb 0.500 0.500 0.000
Al1 Al 0.500 0.000 0.500
```